(i)
VASP calculation (PBE-GGA) on a relaxed structure of LiB2H2.

Values from the calculation:
Size of the total moment ... 0.00 Bohr magnetons per cell

Structure (CIF):
```
data_LiB2H2
_cell_length_a 2.971
_cell_length_b 4.244
_cell_length_c 6.441
_cell_angle_alpha 73.67
_cell_angle_beta 89.75
_cell_angle_gamma 88.19
_symmetry_space_group_name_H-M 'P 1'
_symmetry_Int_Tables_number 1
_symmetry_space_group_name_Hall 'P 1'
loop_
_atom_site_label
_atom_site_type_symbol
_atom_site_fract_x
_atom_site_fract_y
_atom_site_fract_z
Li1 Li 0.000 0.000 0.000
Li2 Li 0.055 0.663 0.471
B1 B 0.049 0.435 0.171
B2 B 0.052 0.551 0.882
B3 B 0.550 0.512 0.048
B4 B 0.553 0.273 0.322
H1 H 0.038 0.832 0.760
H2 H 0.066 0.361 0.768
H3 H 0.556 0.365 0.488
H4 H 0.557 0.966 0.386
```



(ii)
VASP calculation (PBE-GGA) on a relaxed structure of LiB2H2.

Values from the calculation:
Size of the total moment ... 0.00 Bohr magnetons per cell

Structure (CIF):
```
data_LiB2H2
_cell_length_a 2.977
_cell_length_b 8.000
_cell_length_c 6.473
_cell_angle_alpha 90.00
_cell_angle_beta 90.00
_cell_angle_gamma 90.00
_symmetry_space_group_name_H-M 'I m m a'
_symmetry_Int_Tables_number 74
_symmetry_space_group_name_Hall '-I 2b 2'
loop_
_atom_site_label
_atom_site_type_symbol
_atom_site_fract_x
_atom_site_fract_y
_atom_site_fract_z
Li1 Li 0.000 0.000 0.000
B1 B 0.000 0.250 0.192
B2 B 0.000 0.250 0.464
H1 H 0.000 0.129 0.586
```



Least stable = (i)



(i)
VASP calculation (PBE-GGA) on a relaxed structure of LiB2H2.

Values from the calculation:
Size of the total moment ... 0.00 Bohr magnetons per cell

Structure (CIF):
```
data_LiB2H2
_cell_length_a 5.000
_cell_length_b 2.981
_cell_length_c 5.549
_cell_angle_alpha 90.00
_cell_angle_beta 102.91
_cell_angle_gamma 90.00
_symmetry_space_group_name_H-M 'P 1 m 1'
_symmetry_Int_Tables_number 6
_symmetry_space_group_name_Hall 'P -2y'
loop_
_atom_site_label
_atom_site_type_symbol
_atom_site_fract_x
_atom_site_fract_y
_atom_site_fract_z
Li1 Li 0.000 0.000 0.000
Li2 Li 0.351 0.500 0.397
B1 B 0.322 0.000 0.773
B2 B 0.406 0.500 0.959
B3 B 0.511 0.000 0.085
B4 B 0.702 0.500 0.203
H1 H 0.072 0.000 0.693
H2 H 0.436 0.000 0.596
H3 H 0.723 0.500 0.426
H4 H 0.947 0.500 0.181
```



(ii)
VASP calculation (PBE-GGA) on a relaxed structure of LiB2H2.

Values from the calculation:
Size of the total moment ... 0.00 Bohr magnetons per cell

Structure (CIF):
```
data_LiB2H2
_cell_length_a 8.356
_cell_length_b 2.973
_cell_length_c 6.905
_cell_angle_alpha 90.00
_cell_angle_beta 102.11
_cell_angle_gamma 90.00
_symmetry_space_group_name_H-M 'C 1 m 1'
_symmetry_Int_Tables_number 8
_symmetry_space_group_name_Hall 'C -2y'
loop_
_atom_site_label
_atom_site_type_symbol
_atom_site_fract_x
_atom_site_fract_y
_atom_site_fract_z
Li1 Li 0.000 0.000 0.000
Li2 Li 0.063 0.500 0.367
B1 B 0.230 0.500 0.979
B2 B 0.296 0.000 0.125
B3 B 0.299 0.000 0.387
B4 B 0.315 0.500 0.240
H1 H 0.083 0.500 0.892
H2 H 0.183 0.000 0.473
H3 H 0.303 0.500 0.842
H4 H 0.420 0.000 0.524
```



(iii)
VASP calculation (PBE-GGA) on a relaxed structure of LiB2H2.

Values from the calculation:
Size of the total moment ... 0.00 Bohr magnetons per cell

Structure (CIF):
```
data_LiB2H2
_cell_length_a 6.246
_cell_length_b 4.790
_cell_length_c 5.284
_cell_angle_alpha 90.00
_cell_angle_beta 92.41
_cell_angle_gamma 90.00
_symmetry_space_group_name_H-M 'C 1 2 1'
_symmetry_Int_Tables_number 5
_symmetry_space_group_name_Hall 'C 2y'
loop_
_atom_site_label
_atom_site_type_symbol
_atom_site_fract_x
_atom_site_fract_y
_atom_site_fract_z
Li1 Li 0.000 0.000 0.000
Li2 Li 0.000 0.454 0.500
B1 B 0.129 0.007 0.479
B2 B 0.223 0.738 0.696
H1 H 0.072 0.637 0.809
H2 H 0.172 0.369 0.141
```



Least stable = (iii)